A plane-wave DFT calculation with PBE was carried out for ErZr2Pb after structural relaxation.

## Properties
Formation energy (meV/atom): -140
Volume (Å³/cell): 97
ΔE to the lowest computed polymorph (eV/atom): 0.175

Cell lengths 4.5800, 4.5800, 4.6432 Å; angles 90.00, 90.00, 90.00 degrees
Space group P4/mmm (No. 123)
Inequivalent atoms, fractional coordinates:
Er (0.0000, 0.0000, 0.0000) [1 per cell]
Zr (0.0000, 0.5000, 0.5000) [2 per cell]
Pb (0.5000, 0.5000, 0.0000) [1 per cell]